The following is a PBE-GGA calculation of a relaxed structure of SmBeRh, from Alexandria.

a = 3.7819 Å, b = 10.3375 Å, c = 5.4401 Å
α = 90.00°, β = 90.00°, γ = 90.00°
Last column: nearest neighbours and their distance in Å.
Space group Cmcm (No. 63)
Symmetry-distinct sites (fractional):
Sm 0.0000 0.2061 0.2500 x4  5 Rh 2.84-3.07, 4 Be 3.16
Be 0.0000 0.5000 0.0000 x4  4 Rh 2.44, 2 Be 2.72
Rh 0.0000 0.0688 0.7500 x4  4 Be 2.44

Computed properties:
Total moment = 0.000 μB/cell
Raw total energy = -5.7581 eV/atom
Formation enthalpy at 0 K = -0.4925 eV/atom
ρ = 8.191 Mg/m³
E above lowest polymorph = 0.21 eV/f.u.

=====

The following is a PBE-GGA calculation of a relaxed structure of HPdNF2, from Alexandria.

a = 4.2660 Å, b = 4.2660 Å, c = 3.6947 Å
α = 90.00°, β = 90.00°, γ = 90.00°
Last column: nearest neighbours and their distance in Å.
Space group P4/mmm (No. 123)
Symmetry-distinct sites (fractional):
H 0.0000 0.0000 0.0000 x1  8 F 2.82, 4 N 3.02
Pd 0.5000 0.5000 0.5000 x1  2 N 1.85
N 0.5000 0.5000 0.0000 x1  2 Pd 1.85
F 0.0000 0.5000 0.5000 x2  2 Pd 2.13

Computed properties:
Total moment = 0.536 μB/cell
Raw total energy = -3.6980 eV/atom
ρ = 3.937 Mg/m³
E above lowest polymorph = 0.00 eV/f.u.

=====

The following is a PBE-GGA calculation of a relaxed structure of KScCd2, from Alexandria.

a = 3.5804 Å, b = 3.5804 Å, c = 31.5297 Å
α = 90.00°, β = 90.00°, γ = 120.00°
Last column: nearest neighbours and their distance in Å.
Space group R-3m (No. 166, hexagonal axes)
Symmetry-distinct sites (fractional):
K 0.0000 0.0000 0.0000 x3  6 K 3.58, 6 Cd 3.67
Sc 0.0000 0.0000 0.5000 x3  6 Cd 3.04
Cd 0.0000 0.0000 0.2372 x6  3 Sc 3.04

Computed properties:
Total moment = 0.005 μB/cell
Raw total energy = -2.2312 eV/atom
Formation enthalpy at 0 K = 0.0836 eV/atom
ρ = 4.396 Mg/m³
E above lowest polymorph = 0.60 eV/f.u.

=====

The following is a PBE-GGA calculation of a relaxed structure of CePu2UN4, from Alexandria.

a = 6.0127 Å, b = 3.4981 Å, c = 6.0740 Å
α = 90.00°, β = 109.82°, γ = 90.00°
Last column: nearest neighbours and their distance in Å.
Space group P2/m (No. 10)
Symmetry-distinct sites (fractional):
Ce 0.0000 0.0000 0.0000 x1  6 N 2.51
Pu 0.5000 0.0000 0.5000 x1  6 N 2.43-2.45
Pu 0.5000 0.5000 0.0000 x1  6 N 2.57-2.61
U 0.0000 0.5000 0.5000 x1  6 N 2.34-2.37
N 0.2326 0.0000 0.7271 x2  2 U 2.37, 3 Pu 2.45-2.57, 1 Ce 2.51
N 0.2440 0.5000 0.2718 x2  1 U 2.34, 3 Pu 2.43-2.61, 2 Ce 2.51

Computed properties:
Total moment = 0.645 μB/cell
Raw total energy = -11.2335 eV/atom
Energy relative to the elements, uncorrected = -1.335 eV/atom
ρ = 12.741 Mg/m³